Below is La3CoCl3 after structural relaxation, with properties calculated at the GGA-PBE level.

```
data_La3CoCl3
_chemical_formula_sum 'La24 Co8 Cl24'
_space_group_name_H-M_alt 'I 41 3 2'
_space_group_IT_number 214
_space_group_name_Hall 'I 4bd 2c 3'
_cell_length_a 11.8270
_cell_length_b 11.8270
_cell_length_c 11.8270
_cell_angle_alpha 90.00
_cell_angle_beta 90.00
_cell_angle_gamma 90.00
loop_
_atom_site_label
_atom_site_type_symbol
_atom_site_fract_x
_atom_site_fract_y
_atom_site_fract_z
_atom_site_occupancy
La1 La 0.1107 0.3607 0.1250 1
Co1 Co 0.1250 0.1250 0.1250 1
Cl1 Cl 0.1229 0.1271 0.6250 1
```

Output
electronic total energy: -5.4016 eV per atom



Below is La2CoCl after structural relaxation, with properties calculated at the GGA-PBE level.

```
data_La2CoCl
_chemical_formula_sum 'La8 Co4 Cl4'
_space_group_name_H-M_alt 'F -4 3 m'
_space_group_IT_number 216
_space_group_name_Hall 'F -4 2 3'
_cell_length_a 7.1162
_cell_length_b 7.1162
_cell_length_c 7.1162
_cell_angle_alpha 90.00
_cell_angle_beta 90.00
_cell_angle_gamma 90.00
loop_
_atom_site_label
_atom_site_type_symbol
_atom_site_fract_x
_atom_site_fract_y
_atom_site_fract_z
_atom_site_occupancy
La1 La 0.0000 0.0000 0.0000 1
La2 La 0.2500 0.2500 0.2500 1
Co1 Co 0.0000 0.0000 0.5000 1
Cl1 Cl 0.2500 0.2500 0.7500 1
```

Output
relative energy among the computed polymorphs: 1021 meV/atom



Below is La2CoCl after structural relaxation, with properties calculated at the GGA-PBE level.

```
data_La2CoCl
_chemical_formula_sum 'La4 Co2 Cl2'
_space_group_name_H-M_alt 'A m m 2'
_space_group_IT_number 38
_space_group_name_Hall 'A 2 -2'
_cell_length_a 4.5419
_cell_length_b 3.7640
_cell_length_c 11.4141
_cell_angle_alpha 90.00
_cell_angle_beta 90.00
_cell_angle_gamma 90.00
loop_
_atom_site_label
_atom_site_type_symbol
_atom_site_fract_x
_atom_site_fract_y
_atom_site_fract_z
_atom_site_occupancy
La1 La 0.0000 0.0000 0.0000 1
La2 La 0.5000 0.0000 0.2646 1
Co1 Co 0.5000 0.0000 0.4722 1
Cl1 Cl 0.0000 0.0000 0.7345 1
```

Output
relative energy among the computed polymorphs: 219 meV/atom



Below is La2CoCl after structural relaxation, with properties calculated at the GGA-PBE level.

```
data_La2CoCl
_chemical_formula_sum 'La2 Co1 Cl1'
_space_group_name_H-M_alt 'P 1 2/m 1'
_space_group_IT_number 10
_space_group_name_Hall '-P 2y'
_cell_length_a 3.5187
_cell_length_b 3.4643
_cell_length_c 7.9414
_cell_angle_alpha 90.00
_cell_angle_beta 94.43
_cell_angle_gamma 90.00
loop_
_atom_site_label
_atom_site_type_symbol
_atom_site_fract_x
_atom_site_fract_y
_atom_site_fract_z
_atom_site_occupancy
La1 La 0.0990 0.0000 0.2873 1
Co1 Co 0.5000 0.5000 0.5000 1
Cl1 Cl 0.5000 0.5000 0.0000 1
```

Output
relative energy among the computed polymorphs: 174 meV/atom



Below is LaCo2Cl after structural relaxation, with properties calculated at the GGA-PBE level.

```
data_LaCo2Cl
_chemical_formula_sum 'La1 Co2 Cl1'
_space_group_name_H-M_alt 'P 1 2/m 1'
_space_group_IT_number 10
_space_group_name_Hall '-P 2y'
_cell_length_a 3.8195
_cell_length_b 4.2135
_cell_length_c 4.8311
_cell_angle_alpha 90.00
_cell_angle_beta 90.09
_cell_angle_gamma 90.00
loop_
_atom_site_label
_atom_site_type_symbol
_atom_site_fract_x
_atom_site_fract_y
_atom_site_fract_z
_atom_site_occupancy
La1 La 0.0000 0.0000 0.0000 1
Co1 Co 0.5005 0.5000 0.2281 1
Cl1 Cl 0.5000 0.0000 0.5000 1
```

Output
relative energy among the computed polymorphs: 263 meV/atom



Below is LaCo2Cl after structural relaxation, with properties calculated at the GGA-PBE level.

```
data_LaCo2Cl
_chemical_formula_sum 'La2 Co4 Cl2'
_space_group_name_H-M_alt 'C m m m'
_space_group_IT_number 65
_space_group_name_Hall '-C 2 2'
_cell_length_a 5.3185
_cell_length_b 8.8260
_cell_length_c 3.6125
_cell_angle_alpha 90.00
_cell_angle_beta 90.00
_cell_angle_gamma 90.00
loop_
_atom_site_label
_atom_site_type_symbol
_atom_site_fract_x
_atom_site_fract_y
_atom_site_fract_z
_atom_site_occupancy
La1 La 0.0000 0.0000 0.0000 1
Co1 Co 0.2500 0.2500 0.5000 1
Cl1 Cl 0.0000 0.5000 0.0000 1
```

Output
relative energy among the computed polymorphs: 684 meV/atom